Entry 1:
A plane-wave DFT calculation with SCAN was carried out for LiBiF6 at its PBEsol-relaxed geometry.

Summary:
VASP energy in eV per atom: -14.968
Raw formation energy in kJ/mol of atoms: -212

a b c (Å): 5.5663 5.5663 5.5663
angles (deg): 55.39 55.39 55.39
Fractional coordinates of all 8 atoms:
Li (0.0000, 0.0000, 0.0000)
Bi (0.5000, 0.5000, 0.5000)
F (0.1134, 0.7516, 0.3846)
F (0.2484, 0.6154, 0.8866)
F (0.3846, 0.1134, 0.7516)
F (0.6154, 0.8866, 0.2484)
F (0.7516, 0.3846, 0.1134)
F (0.8866, 0.2484, 0.6154)

***

Entry 2:
A plane-wave DFT calculation with SCAN was carried out for LiBiF5 at its PBEsol-relaxed geometry.

Summary:
VASP energy in eV per atom: -16.393
Raw formation energy in kJ/mol of atoms: -222

a b c (Å): 5.3707 5.3707 5.3707
angles (deg): 99.55 99.55 131.93
Fractional coordinates of all 7 atoms:
Li (0.0000, 0.0000, 0.0000)
Bi (0.7500, 0.2500, 0.5000)
F (0.0227, 0.3202, 0.8814)
F (0.2500, 0.7500, 0.5000)
F (0.4389, 0.1413, 0.1186)
F (0.6798, 0.5611, 0.7024)
F (0.8587, 0.9773, 0.2976)

***

Entry 3:
A plane-wave DFT calculation with SCAN was carried out for LiMgBi2F at its PBEsol-relaxed geometry.

Summary:
VASP energy in eV per atom: -34.471
Raw formation energy in kJ/mol of atoms: -83

a b c (Å): 5.5427 5.5427 3.5163
angles (deg): 90.00 90.00 90.00
Fractional coordinates of all 5 atoms:
Li (0.0000, 0.0000, 0.0000)
Mg (0.5000, 0.5000, 0.0000)
Bi (0.0000, 0.5000, 0.5000)
Bi (0.5000, 0.0000, 0.5000)
F (0.0000, 0.0000, 0.5000)

***

Entry 4:
A plane-wave DFT calculation with SCAN was carried out for MgBi2F at its PBEsol-relaxed geometry.

Summary:
Energy relative to the lowest polymorph listed for this composition in meV/atom: 67
VASP energy in eV per atom: -41.980
Raw formation energy in kJ/mol of atoms: -54

a b c (Å): 10.9391 10.9391 10.9391
angles (deg): 156.90 156.90 32.90
Fractional coordinates of all 8 atoms:
Mg (0.0000, 0.0000, 0.0000)
Mg (0.7500, 0.2500, 0.5000)
Bi (0.1228, 0.6250, 0.9978)
Bi (0.3750, 0.3728, 0.4978)
Bi (0.6272, 0.1250, 0.0022)
Bi (0.8750, 0.8772, 0.5022)
F (0.2500, 0.7500, 0.5000)
F (0.5000, 0.5000, 0.0000)

***

Entry 5:
A plane-wave DFT calculation with SCAN was carried out for MgBiF5 at its PBEsol-relaxed geometry.

Summary:
VASP energy in eV per atom: -17.415
Raw formation energy in kJ/mol of atoms: -285

a b c (Å): 4.9200 9.9116 7.9661
angles (deg): 90.00 94.88 90.00
Fractional coordinates of all 28 atoms:
Mg (0.0495, 0.0079, 0.2001)
Mg (0.0495, 0.4921, 0.7001)
Mg (0.9505, 0.5079, 0.2999)
Mg (0.9505, 0.9921, 0.7999)
Bi (0.4526, 0.7439, 0.0917)
Bi (0.4526, 0.7561, 0.5917)
Bi (0.5474, 0.2439, 0.4083)
Bi (0.5474, 0.2561, 0.9083)
F (0.0599, 0.6285, 0.1250)
F (0.0599, 0.8715, 0.6250)
F (0.1553, 0.6004, 0.4965)
F (0.1553, 0.8996, 0.9965)
F (0.2632, 0.1076, 0.7938)
F (0.2632, 0.3924, 0.2938)
F (0.2730, 0.6487, 0.8058)
F (0.2730, 0.8513, 0.3058)
F (0.3720, 0.1296, 0.1737)
F (0.3720, 0.3704, 0.6737)
F (0.6280, 0.6296, 0.3263)
F (0.6280, 0.8704, 0.8263)
F (0.7270, 0.1487, 0.6942)
F (0.7270, 0.3513, 0.1942)
F (0.7368, 0.6076, 0.7062)
F (0.7368, 0.8924, 0.2062)
F (0.8447, 0.1004, 0.0035)
F (0.8447, 0.3996, 0.5035)
F (0.9401, 0.1285, 0.3750)
F (0.9401, 0.3715, 0.8750)

***

Entry 6:
A plane-wave DFT calculation with SCAN was carried out for MgBiF6 at its PBEsol-relaxed geometry.

Summary:
VASP energy in eV per atom: -15.739
Raw formation energy in kJ/mol of atoms: -255

a b c (Å): 5.6972 5.6972 5.6972
angles (deg): 55.57 55.57 55.57
Fractional coordinates of all 8 atoms:
Mg (0.0000, 0.0000, 0.0000)
Bi (0.5000, 0.5000, 0.5000)
F (0.1071, 0.3715, 0.7620)
F (0.2380, 0.8929, 0.6285)
F (0.3715, 0.7620, 0.1071)
F (0.6285, 0.2380, 0.8929)
F (0.7620, 0.1071, 0.3715)
F (0.8929, 0.6285, 0.2380)

***

Entry 7:
A plane-wave DFT calculation with SCAN was carried out for MgBi2F at its PBEsol-relaxed geometry.

Summary:
Energy relative to the lowest polymorph listed for this composition in meV/atom: 0
VASP energy in eV per atom: -42.047
Raw formation energy in kJ/mol of atoms: -61

a b c (Å): 4.9661 4.9661 4.9661
angles (deg): 60.00 60.00 60.00
Fractional coordinates of all 4 atoms:
Mg (0.0000, 0.0000, 0.0000)
Bi (0.2500, 0.2500, 0.2500)
Bi (0.7500, 0.7500, 0.7500)
F (0.5000, 0.5000, 0.5000)

***

Entry 8:
A plane-wave DFT calculation with SCAN was carried out for MgBiF2 at its PBEsol-relaxed geometry.

Summary:
VASP energy in eV per atom: -24.277
Raw formation energy in kJ/mol of atoms: -156

a b c (Å): 8.0607 8.0607 8.0607
angles (deg): 23.63 23.63 23.63
Fractional coordinates of all 4 atoms:
Mg (0.0000, 0.0000, 0.0000)
Bi (0.5000, 0.5000, 0.5000)
F (0.0811, 0.0811, 0.0811)
F (0.9189, 0.9189, 0.9189)

***

Looking at density for the records above, in order, we have 5.0; 4.9; 7.2; 7.6; 5.6; 4.9; 8.8; 6.1 g/cm3.